Ga3TcSe | GGA-PBEsol | optimized geometry

The structure in POSCAR format:
```
Ga3TcSe
1.0
4.817 0.000 0.000
0.000 4.817 0.000
0.000 0.000 4.817
Tc Se Ga
1 1 3
direct
0.500 0.500 0.500
0.000 0.000 0.000
0.500 0.000 0.000
0.000 0.000 0.500
0.000 0.500 0.000
```

Results
**Theoretical density**: 5.735 g cm⁻³
**N(E_F)**: 3.807 states/eV/f.u.
**Formation energy from raw total energies**: 1.24 eV/atom


GeSN2O | GGA-PBEsol | optimized geometry

The structure in POSCAR format:
```
GeSN2O
1.0
-3.521 0.402 0.234
-0.326 -3.408 0.943
0.494 1.362 5.097
N S Ge O
2 1 1 1
direct
0.500 0.000 0.000
0.000 0.500 0.000
0.000 0.000 0.500
0.000 0.000 0.000
0.500 0.500 0.500
```

Results
**Theoretical density**: 3.696 g cm⁻³
**N(E_F)**: 3.688 states/eV/f.u.
**Formation energy from raw total energies**: 1.61 eV/atom


TlIr2Cl | GGA-PBEsol | optimized geometry

The structure in POSCAR format:
```
TlIr2Cl
1.0
-1.529 -0.808 -2.242
0.516 -3.266 2.613
-6.267 3.896 2.869
Tl Ir Cl
1 2 1
direct
0.538 0.075 0.462
0.886 0.771 0.064
0.195 0.391 0.197
0.881 0.763 0.777
```

Results
**Theoretical density**: 12.094 g cm⁻³
**N(E_F)**: 2.763 states/eV/f.u.
**Excess energy over the best structure of this formula in the dataset**: 0.000 eV/atom
**Formation energy from raw total energies**: 0.39 eV/atom


BeCdRh3 | GGA-PBEsol | optimized geometry

The structure in POSCAR format:
```
BeCdRh3
1.0
-3.732 -2.382 -1.723
0.773 -3.481 3.138
-2.836 2.185 3.122
Rh Be Cd
3 1 1
direct
0.000 0.000 0.500
0.000 0.500 0.000
0.500 0.000 0.000
0.500 0.500 0.500
0.000 0.000 0.000
```

Results
**Theoretical density**: 6.664 g cm⁻³
**N(E_F)**: 9.739 states/eV/f.u.
**Energy of formation**: 2.123 eV/atom


TeAuSe2 | GGA-PBEsol | optimized geometry

The structure in POSCAR format:
```
TeAuSe2
1.0
4.055 0.000 0.000
0.000 4.055 0.000
0.000 0.000 5.517
Se Au Te
2 1 1
direct
0.500 0.500 0.000
0.000 0.000 0.500
0.500 0.500 0.500
0.000 0.000 0.000
```

Results
**Theoretical density**: 8.831 g cm⁻³
**N(E_F)**: 2.673 states/eV/f.u.
**Excess energy over the best structure of this formula in the dataset**: 0.084 eV/atom
**Formation energy from raw total energies**: 0.07 eV/atom


FeCo | GGA-PBEsol | optimized geometry

The structure in POSCAR format:
```
FeCo
1.0
-0.346 -1.192 2.073
-2.240 -2.605 -1.872
5.564 -3.760 -1.427
Co Fe
3 3
direct
0.858 0.000 0.833
0.142 0.000 0.167
0.500 0.500 0.000
0.824 0.500 0.332
0.176 0.500 0.668
0.500 0.000 0.500
```

Results
**Theoretical density**: 8.814 g cm⁻³
**N(E_F)**: 2.028 states/eV/f.u.
**Energy of formation**: 0.046 eV/atom


Ti2AlCr | GGA-PBEsol | optimized geometry

The structure in POSCAR format:
```
Ti2AlCr
1.0
-2.146 -2.226 -0.029
2.171 -2.083 -0.715
0.976 -1.019 5.935
Cr Al Ti
1 1 2
direct
0.000 0.000 0.500
0.000 0.000 0.000
0.500 0.500 0.724
0.500 0.500 0.276
```

Results
**Theoretical density**: 4.973 g cm⁻³
**N(E_F)**: 2.643 states/eV/f.u.
**Energy of formation**: -0.246 eV/atom


LaSb2Au | GGA-PBEsol | optimized geometry

The structure in POSCAR format:
```
LaSb2Au
1.0
4.435 0.003 0.000
-0.346 4.532 0.000
-2.044 -2.268 5.397
Sb Au La
2 1 1
direct
0.000 0.000 0.500
0.500 0.500 0.500
0.500 0.000 0.000
0.000 0.500 0.000
```

Results
**Theoretical density**: 8.868 g cm⁻³
**N(E_F)**: 2.332 states/eV/f.u.
**Formation energy from raw total energies**: -0.48 eV/atom


> Which of these has the lowest theoretical density?

GeSN2O


> N(E_F) of number 8 (LaSb2Au)?

2.332 states/eV/f.u.


> What is the N(E_F) in the eighth record?

2.332 states/eV/f.u.